NaCaSmWO6 after structural relaxation. Source: Alexandria, functional PBE+U.

## Properties
crystal system	cubic
VASP energy	-69.812	eV/cell
calculated volume	149.3	Å³ per cell
SG	F-43m
Fermi-level density of states	0.00	states/eV/cell

a = 5.954 Å, b = 5.954 Å, c = 5.954 Å
α = 60.00°, β = 60.00°, γ = 60.00°
Sites, in units of the cell vectors:
Na 0.000 0.000 0.000
Ca 0.500 0.500 0.500
Sm 0.250 0.250 0.250
W 0.750 0.750 0.750
O 0.519 0.519 0.981
O 0.519 0.981 0.519
O 0.519 0.981 0.981
O 0.981 0.519 0.519
O 0.981 0.519 0.981
O 0.981 0.981 0.519